Compound: CuSiTe
Source: Alexandria
Functional: PBE
Structure: optimized geometry

The structure in POSCAR format:
```
CuSiTe
1.0
3.819 0.000 0.000
-1.910 3.308 0.000
0.000 0.000 4.596
Cu Si Te
1 1 1
direct
0.000 0.000 0.000
0.667 0.333 0.244
0.333 0.667 0.645
```

Computed properties:
M_tot in μB per cell: 0.00
Theoretical density in Mg/m³: 6.27
Energy relative to the elements, uncorrected in meV/atom: 229